Compound: NbVCoNi
Source: the Alexandria database
Functional: PBE
Structure: relaxed

POSCAR file:
```
NbVCoNi
1.0
-3.6776 1.0505 -1.8522
-3.4978 -2.2860 0.7735
-3.1509 1.6566 2.3208
Ni Nb Co V
1 1 1 1
direct
0.2500 0.2500 0.2500 Ni
0.5000 0.5000 0.5000 Nb
0.7500 0.7500 0.7500 Co
0.0000 0.0000 0.0000 V
```

Values from the calculation:
Total DFT energy (no corrections), eV/cell: -32.088
Energy relative to the elements, eV/atom: -0.003
DOS(E_F), states/eV/f.u.: 5.69
Space group: F-43m